(1)
Material: La3AuI3
Method: DFT, GGA-PBE
State: optimized geometry

a b c (Å): 11.1122 11.1122 11.1122
angles (deg): 109.47 109.47 109.47
Last column: nearest neighbours and their distance in Å.
Sites, in units of the cell vectors:
La 0.4713 0.4856 0.2356  2 Au 3.03, 2 I 3.34
La 0.7500 0.2356 0.2644  2 Au 3.03, 2 I 3.34
La 0.7500 0.0144 0.4856  2 Au 3.03, 2 I 3.34
La 0.2356 0.4713 0.4856  2 Au 3.03, 2 I 3.34
La 0.2644 0.7500 0.2356  2 Au 3.03, 2 I 3.34
La 0.0287 0.2644 0.0144  2 Au 3.03, 2 I 3.34
La 0.0144 0.0287 0.2644  2 Au 3.03, 2 I 3.34
La 0.4856 0.7500 0.0144  2 Au 3.03, 2 I 3.34
La 0.4856 0.2356 0.4713  2 Au 3.03, 2 I 3.34
La 0.0144 0.4856 0.7500  2 Au 3.03, 2 I 3.34
La 0.2644 0.0144 0.0287  2 Au 3.03, 2 I 3.34
La 0.2356 0.2644 0.7500  2 Au 3.03, 2 I 3.34
Au 0.2500 0.2500 0.2500  6 La 3.03
Au 0.5000 0.0000 0.2500  6 La 3.03
Au 0.0000 0.2500 0.5000  6 La 3.03
Au 0.2500 0.5000 0.0000  6 La 3.03
I 0.2500 0.7587 0.7413  4 La 3.34-3.41
I 0.5174 0.5087 0.7587  4 La 3.34-3.41
I 0.9826 0.7413 0.9913  4 La 3.34-3.41
I 0.7413 0.2500 0.7587  4 La 3.34-3.41
I 0.9913 0.9826 0.7413  4 La 3.34-3.41
I 0.2500 0.9913 0.5087  4 La 3.34-3.41
I 0.7587 0.5174 0.5087  4 La 3.34-3.41
I 0.5087 0.2500 0.9913  4 La 3.34-3.41
I 0.7587 0.7413 0.2500  4 La 3.34-3.41
I 0.7413 0.9913 0.9826  4 La 3.34-3.41
I 0.9913 0.5087 0.2500  4 La 3.34-3.41
I 0.5087 0.7587 0.5174  4 La 3.34-3.41

Output
Theoretical density, Mg/m³: 6.3
Density of states at the Fermi level, states/eV/cell: 30.15
Raw formation energy, meV/atom: -1161
Space-group type: No. 214
Total DFT energy (no corrections), eV per atom: -4.4056

---

(2)
Material: Sr2AlAs
Method: DFT, GGA-PBE
State: optimized geometry

a b c (Å): 8.6070 8.6070 8.6070
angles (deg): 30.34 30.34 30.34
Last column: nearest neighbours and their distance in Å.
Sites, in units of the cell vectors:
Sr 0.0172 0.0172 0.0172  3 As 3.07
Sr 0.4828 0.4828 0.4828  3 As 3.07
As 0.7500 0.7500 0.7500  6 Sr 3.07
Al 0.2500 0.2500 0.2500  6 Sr 3.59

Output
Formation energy from the elements, eV per atom: -0.376
Theoretical density, Mg/m³: 3.2
Density of states at the Fermi level, states/eV/cell: 2.82
Space-group type: No. 166
Offset from the most stable computed form, meV/atom: 277.7
Total DFT energy (no corrections), eV per atom: -3.3146

---

(3)
Material: La2CoAg
Method: DFT, GGA-PBE
State: optimized geometry

a b c (Å): 3.5458 3.5458 7.7742
angles (deg): 90.00 90.00 90.05
Last column: nearest neighbours and their distance in Å.
Sites, in units of the cell vectors:
Co 0.5000 0.5000 0.7500  8 La 3.02
Ag 0.5000 0.5000 0.2500  8 La 3.34, 4 Ag 3.55
La 0.0000 0.0000 0.9662  4 Co 3.02, 4 Ag 3.34, 1 La 3.36
La 0.0000 0.0000 0.5338  4 Co 3.02, 4 Ag 3.34, 1 La 3.36

Output
Formation energy from the elements, eV per atom: -0.133
Theoretical density, Mg/m³: 7.6
Density of states at the Fermi level, states/eV/cell: 3.79
Space-group type: No. 123
Total DFT energy (no corrections), eV per atom: -5.0857

---

(4)
Material: FeHOsRh2
Method: DFT, GGA-PBE
State: optimized geometry

a b c (Å): 3.8459 3.8459 3.9066
angles (deg): 90.00 90.00 90.00
Last column: nearest neighbours and their distance in Å.
Sites, in units of the cell vectors:
Rh 0.0000 0.5000 0.0000  2 H 1.92
Rh 0.5000 0.0000 0.0000  2 H 1.92
Os 0.0000 0.0000 0.5000  2 H 1.95
Fe 0.5000 0.5000 0.5000  4 Os 2.72, 8 Rh 2.74
H 0.0000 0.0000 0.0000  4 Rh 1.92, 2 Os 1.95

Output
Theoretical density, Mg/m³: 13.0
Density of states at the Fermi level, states/eV/cell: 3.63
Space-group type: No. 123
Total DFT energy (no corrections), eV per atom: -7.4122

---

(5)
Material: Pr2Te
Method: DFT, GGA-PBE
State: optimized geometry

a b c (Å): 4.0425 4.0425 6.6690
angles (deg): 107.78 107.78 89.72
Last column: nearest neighbours and their distance in Å.
Sites, in units of the cell vectors:
Pr 0.1508 0.1508 0.3020  4 Te 3.38-3.40, 5 Pr 3.64-3.73
Pr 0.8492 0.8492 0.6980  4 Te 3.38-3.40, 5 Pr 3.64-3.73
Te 0.5000 0.5000 0.0000  8 Pr 3.38-3.40

Output
Theoretical density, Mg/m³: 6.9
Density of states at the Fermi level, states/eV/cell: 3.18
Raw formation energy, meV/atom: -782
Space-group type: No. 69
Total DFT energy (no corrections), eV per atom: -5.0158

---

(6)
Material: LiZnCo2
Method: DFT, GGA-PBE
State: optimized geometry

a b c (Å): 4.6405 4.6405 2.4759
angles (deg): 90.00 90.00 116.26
Last column: nearest neighbours and their distance in Å.
Sites, in units of the cell vectors:
Co 0.0000 0.0000 0.0000  4 Co 2.45-2.48, 4 Zn 2.63, 4 Li 2.63
Co 0.5000 0.5000 0.0000  4 Co 2.45-2.48, 4 Li 2.63, 4 Zn 2.63
Li 0.5000 0.0000 0.5000  2 Zn 2.45, 2 Li 2.48, 8 Co 2.63
Zn 0.0000 0.5000 0.5000  2 Li 2.45, 2 Zn 2.48, 8 Co 2.63

Output
Formation energy from the elements, eV per atom: 0.104
Theoretical density, Mg/m³: 6.6
Density of states at the Fermi level, states/eV/cell: 3.58
Space-group type: No. 65
Total DFT energy (no corrections), eV per atom: -4.2460

---

(7)
Material: Ho2ZrScBi4
Method: DFT, GGA-PBE
State: optimized geometry

a b c (Å): 4.3469 7.5317 7.5483
angles (deg): 109.30 90.00 90.00
Last column: nearest neighbours and their distance in Å.
Sites, in units of the cell vectors:
Ho 0.5000 0.0000 0.5000  6 Bi 3.13-3.14
Ho 0.0000 0.5000 0.5000  6 Bi 3.12-3.13
Zr 0.0000 0.0000 0.0000  6 Bi 3.03
Sc 0.5000 0.5000 0.0000  6 Bi 3.02
Bi 0.5000 0.2472 0.2381  1 Sc 3.02, 2 Zr 3.03, 3 Ho 3.13
Bi 0.5000 0.7528 0.7619  1 Sc 3.02, 2 Zr 3.03, 3 Ho 3.13
Bi 0.0000 0.2551 0.7630  2 Sc 3.02, 1 Zr 3.03, 3 Ho 3.12-3.14
Bi 0.0000 0.7449 0.2370  2 Sc 3.02, 1 Zr 3.03, 3 Ho 3.12-3.14

Output
Formation energy from the elements, eV per atom: -0.632
Theoretical density, Mg/m³: 9.3
Density of states at the Fermi level, states/eV/cell: 1.88
Space-group type: No. 10
Total DFT energy (no corrections), eV per atom: -5.5768

---

(8)
Material: Sr2Ta
Method: DFT, GGA-PBE
State: optimized geometry

a b c (Å): 6.4862 6.4862 6.4862
angles (deg): 149.95 133.30 56.53
Last column: nearest neighbours and their distance in Å.
Sites, in units of the cell vectors:
Sr 0.3480 0.3480 0.0000  3 Sr 3.36-3.47, 4 Ta 3.53
Sr 0.6520 0.6520 0.0000  3 Sr 3.36-3.47, 4 Ta 3.53
Ta 0.0000 0.0000 0.0000  2 Ta 3.36, 8 Sr 3.53

Output
Formation energy from the elements, eV per atom: 1.075
Theoretical density, Mg/m³: 6.0
Density of states at the Fermi level, states/eV/cell: 3.97
Space-group type: No. 71
Offset from the most stable computed form, meV/atom: 461.7
Total DFT energy (no corrections), eV per atom: -3.9973

---

(9)
Material: Ba2AgPPb
Method: DFT, GGA-PBE
State: optimized geometry

a b c (Å): 6.1822 5.3784 6.1822
angles (deg): 90.00 90.00 90.00
Last column: nearest neighbours and their distance in Å.
Sites, in units of the cell vectors:
Pb 0.0000 0.5000 0.0000  2 P 2.69
P 0.0000 0.0000 0.0000  2 Pb 2.69
Ba 0.0000 0.0000 0.5000  2 P 3.09
Ba 0.5000 0.0000 0.0000  2 P 3.09
Ag 0.5000 0.5000 0.5000  8 Ba 4.10, 4 Pb 4.37

Output
Formation energy from the elements, eV per atom: -0.245
Theoretical density, Mg/m³: 5.0
Density of states at the Fermi level, states/eV/cell: 3.97
Space-group type: No. 123
Total DFT energy (no corrections), eV per atom: -3.4084

---

(10)
Material: Cs2HgOsBr6
Method: DFT, GGA-PBE
State: optimized geometry

a b c (Å): 8.1971 8.1971 8.1964
angles (deg): 60.00 60.00 90.00
Last column: nearest neighbours and their distance in Å.
Sites, in units of the cell vectors:
Cs 0.7500 0.2500 0.5000  12 Br 4.12
Cs 0.2500 0.7500 0.5000  12 Br 4.12
Os 0.5000 0.5000 0.0000  6 Br 2.52
Hg 0.0000 0.0000 0.0000  6 Br 3.28
Br 0.2828 0.2828 0.4344  1 Os 2.52
Br 0.7172 0.7172 0.5656  1 Os 2.52
Br 0.2828 0.2828 0.0000  1 Os 2.52
Br 0.7172 0.7172 0.0000  1 Os 2.52
Br 0.7172 0.2828 0.0000  1 Os 2.52
Br 0.2828 0.7172 0.0000  1 Os 2.52

Output
Theoretical density, Mg/m³: 4.8
Density of states at the Fermi level, states/eV/cell: 17.07
Raw formation energy, meV/atom: -791
Space-group type: No. 225
Total DFT energy (no corrections), eV per atom: -3.1185

---

(11)
Material: K3AgS8
Method: DFT, GGA-PBE
State: optimized geometry

a b c (Å): 7.7795 7.7767 7.7744
angles (deg): 67.96 75.58 112.07
Last column: nearest neighbours and their distance in Å.
Sites, in units of the cell vectors:
K 0.7493 0.4999 0.7507  4 S 3.10
K 0.2494 0.5000 0.2507  4 S 3.10
K 0.4996 0.9999 0.5002  8 S 3.59-3.72
Ag 0.0002 0.0000 0.9999  4 S 2.46
S 0.0298 0.0000 0.5376  1 S 2.03
S 0.5379 0.5673 0.4622  1 S 2.03
S 0.9706 0.4328 0.0295  1 S 2.03
S 0.4625 0.0000 0.9698  1 S 2.03
S 0.8358 0.0000 0.7673  1 S 2.03
S 0.7675 0.6030 0.2326  1 S 2.03
S 0.1645 0.3970 0.8356  1 S 2.03
S 0.2330 0.0000 0.1640  1 S 2.03

Output
Theoretical density, Mg/m³: 2.2
Density of states at the Fermi level, states/eV/cell: 5.97
Raw formation energy, meV/atom: -369
Space-group type: No. 42
Total DFT energy (no corrections), eV per atom: -3.6321

---

(12)
Material: NdEu2Dy
Method: DFT, GGA-PBE
State: optimized geometry

a b c (Å): 3.6870 3.6870 10.6810
angles (deg): 90.00 90.00 90.00
Last column: nearest neighbours and their distance in Å.
Sites, in units of the cell vectors:
Eu 0.0000 0.0000 0.7548  4 Eu 3.69, 4 Dy 3.70, 4 Nd 3.77
Eu 0.0000 0.0000 0.2452  4 Eu 3.69, 4 Dy 3.70, 4 Nd 3.77
Nd 0.5000 0.5000 0.5000  4 Nd 3.69, 8 Eu 3.77
Dy 0.5000 0.5000 0.0000  4 Dy 3.69, 8 Eu 3.70

Output
Formation energy from the elements, eV per atom: 0.104
Theoretical density, Mg/m³: 7.0
Density of states at the Fermi level, states/eV/cell: 4.17
Space-group type: No. 123
Offset from the most stable computed form, meV/atom: 13.5
Total DFT energy (no corrections), eV per atom: -7.3758

---

The highest density of states at the Fermi level belongs to which entry?
La3AuI3